(1)
{
  "formula": "Ca2LaPb",
  "functional": "meta-GGA SCAN",
  "state": "single point on PBEsol structure",
  "lattice": [[4.943, 0.000, 0.000], [0.000, 4.943, 0.000], [0.000, 0.000, 5.198]],
  "species": ["Ca", "Ca", "Pb", "La"],
  "frac_coords": [[0.000, 0.500, 0.000], [0.500, 0.000, 0.000], [0.000, 0.000, 0.500], [0.500, 0.500, 0.500]],
  "sg": "No. 123",
  "delta_e_f_ev_per_atom": -0.4652,
  "dos_at_fermi_per_ev_cell": 3.04
}

---

(2)
{
  "formula": "SiAu2Cl",
  "functional": "meta-GGA SCAN",
  "state": "single point on PBEsol structure",
  "lattice": [[2.976, 0.000, 0.000], [0.000, 5.246, 0.000], [-1.488, -2.623, 4.560]],
  "species": ["Au", "Au", "Cl", "Si"],
  "frac_coords": [[0.731, 0.231, 0.463], [0.964, 0.964, 0.928], [0.550, 0.550, 0.099], [0.255, 0.755, 0.510]],
  "sg": "No. 44",
  "polymorph_energy_ev_per_atom": 0.067,
  "dos_at_fermi_per_ev_cell": 1.37
}

---

(3)
{
  "formula": "Ga2TeOF",
  "functional": "meta-GGA SCAN",
  "state": "single point on PBEsol structure",
  "lattice": [[4.336, 0.000, 0.000], [0.000, 4.336, 0.000], [0.000, 0.000, 4.145]],
  "species": ["O", "Te", "F", "Ga", "Ga"],
  "frac_coords": [[0.000, 0.000, 0.000], [0.500, 0.500, 0.500], [0.000, 0.000, 0.500], [0.500, 0.000, 0.000], [0.000, 0.500, 0.000]],
  "sg": "No. 123",
  "dos_at_fermi_per_ev_cell": 1.86,
  "dft_energy_ha_per_atom": -0.600
}

---

(4)
{
  "formula": "SnSbW2C",
  "functional": "meta-GGA SCAN",
  "state": "single point on PBEsol structure",
  "lattice": [[4.912, 0.000, 0.000], [0.000, 4.912, 0.000], [0.000, 0.000, 5.483]],
  "species": ["C", "Sb", "W", "W", "Sn"],
  "frac_coords": [[0.500, 0.500, 0.500], [0.000, 0.000, 0.000], [0.500, 0.000, 0.000], [0.000, 0.500, 0.000], [0.000, 0.000, 0.500]],
  "sg": "No. 123",
  "dos_at_fermi_per_ev_cell": 4.35,
  "dft_energy_ha_per_atom": -1.499
}

---

(5)
{
  "formula": "Zr2ScTaAu",
  "functional": "meta-GGA SCAN",
  "state": "single point on PBEsol structure",
  "lattice": [[-2.817, -3.786, 1.522], [0.876, -2.419, -4.398], [4.101, -2.230, 2.043]],
  "species": ["Zr", "Zr", "Ta", "Sc", "Au"],
  "frac_coords": [[0.000, 0.000, 0.500], [0.000, 0.500, 0.000], [0.500, 0.000, 0.000], [0.500, 0.500, 0.500], [0.000, 0.000, 0.000]],
  "sg": "No. 123",
  "delta_e_f_ev_per_atom": 0.6712,
  "dos_at_fermi_per_ev_cell": 6.73
}

---

(6)
{
  "formula": "NiAs2P",
  "functional": "meta-GGA SCAN",
  "state": "single point on PBEsol structure",
  "lattice": [[-2.179, -1.170, -0.824], [1.723, -1.395, -2.574], [0.898, -5.731, 3.708]],
  "species": ["As", "As", "P", "Ni"],
  "frac_coords": [[0.057, 0.000, 0.222], [0.943, 0.000, 0.778], [0.000, 0.500, 0.500], [0.500, 0.500, 0.000]],
  "sg": "No. 10",
  "delta_e_f_ev_per_atom": 0.1904,
  "dos_at_fermi_per_ev_cell": 1.95
}

---

(7)
{
  "formula": "Ce2Ti2O7",
  "functional": "meta-GGA SCAN",
  "state": "single point on PBEsol structure",
  "lattice": [[7.245, 0.000, 0.000], [3.623, 6.275, 0.000], [3.623, 2.092, 5.916]],
  "species": ["O", "O", "O", "O", "O", "O", "O", "O", "O", "O", "O", "O", "O", "O", "Ti", "Ti", "Ti", "Ti", "Ce", "Ce", "Ce", "Ce"],
  "frac_coords": [[0.046, 0.454, 0.046], [0.796, 0.796, 0.204], [0.204, 0.796, 0.204], [0.796, 0.204, 0.204], [0.454, 0.454, 0.046], [0.454, 0.046, 0.454], [0.796, 0.204, 0.796], [0.750, 0.750, 0.750], [0.046, 0.454, 0.454], [0.204, 0.204, 0.796], [0.454, 0.046, 0.046], [0.046, 0.046, 0.454], [0.500, 0.500, 0.500], [0.204, 0.796, 0.796], [0.125, 0.125, 0.625], [0.125, 0.125, 0.125], [0.125, 0.625, 0.125], [0.625, 0.125, 0.125], [0.125, 0.625, 0.625], [0.625, 0.625, 0.125], [0.625, 0.125, 0.625], [0.625, 0.625, 0.625]],
  "sg": "No. 227",
  "dos_at_fermi_per_ev_cell": 15.03,
  "dft_energy_ha_per_atom": -0.681
}

---

(8)
{
  "formula": "BeCr2Cd",
  "functional": "meta-GGA SCAN",
  "state": "single point on PBEsol structure",
  "lattice": [[3.428, 0.000, 0.000], [0.000, 3.428, 0.000], [0.000, 0.000, 4.189]],
  "species": ["Be", "Cr", "Cr", "Cd"],
  "frac_coords": [[0.500, 0.500, 0.500], [0.500, 0.000, 0.000], [0.000, 0.500, 0.000], [0.000, 0.000, 0.500]],
  "sg": "No. 123",
  "polymorph_energy_ev_per_atom": 0.216,
  "delta_e_f_ev_per_atom": 0.4632,
  "dos_at_fermi_per_ev_cell": 2.33
}

---

(9)
{
  "formula": "SiAg2Cl",
  "functional": "meta-GGA SCAN",
  "state": "single point on PBEsol structure",
  "lattice": [[-3.270, -0.937, -1.605], [0.599, -3.606, 0.886], [-1.092, 2.982, 4.891]],
  "species": ["Si", "Ag", "Ag", "Cl"],
  "frac_coords": [[0.250, 0.750, 0.500], [0.000, 0.000, 0.000], [0.750, 0.250, 0.500], [0.500, 0.500, 0.000]],
  "sg": "No. 119",
  "polymorph_energy_ev_per_atom": 0.063,
  "dos_at_fermi_per_ev_cell": 0.89
}

---

(10)
{
  "formula": "CuIr2Pt",
  "functional": "meta-GGA SCAN",
  "state": "single point on PBEsol structure",
  "lattice": [[3.819, 0.000, 0.000], [0.000, 3.819, 0.000], [-1.910, -1.910, 3.753]],
  "species": ["Cu", "Pt", "Ir", "Ir"],
  "frac_coords": [[0.000, 0.000, 0.000], [0.500, 0.500, 0.000], [0.250, 0.750, 0.500], [0.750, 0.250, 0.500]],
  "sg": "No. 139",
  "polymorph_energy_ev_per_atom": 0.077,
  "delta_e_f_ev_per_atom": 0.0811,
  "dos_at_fermi_per_ev_cell": 2.68
}

---

(11)
{
  "formula": "SbMo2Cl",
  "functional": "meta-GGA SCAN",
  "state": "single point on PBEsol structure",
  "lattice": [[-0.185, -1.032, -2.741], [4.420, -0.450, -0.129], [-0.453, -4.999, 1.914]],
  "species": ["Mo", "Mo", "Sb", "Cl"],
  "frac_coords": [[0.000, 0.000, 0.000], [0.500, 0.000, 0.500], [0.500, 0.500, 0.000], [0.000, 0.500, 0.500]],
  "sg": "No. 47",
  "polymorph_energy_ev_per_atom": 0.905,
  "dos_at_fermi_per_ev_cell": 2.92
}

---

(12)
{
  "formula": "TlOsRh2",
  "functional": "meta-GGA SCAN",
  "state": "single point on PBEsol structure",
  "lattice": [[3.972, 0.000, 0.000], [0.000, 3.972, 0.000], [-1.986, -1.986, 3.861]],
  "species": ["Rh", "Rh", "Os", "Tl"],
  "frac_coords": [[0.750, 0.250, 0.500], [0.250, 0.750, 0.500], [0.500, 0.500, 0.000], [0.000, 0.000, 0.000]],
  "sg": "No. 139",
  "polymorph_energy_ev_per_atom": 0.053,
  "delta_e_f_ev_per_atom": 0.4466,
  "dos_at_fermi_per_ev_cell": 3.92
}

---

(13)
{
  "formula": "BaTl2Cu2",
  "functional": "meta-GGA SCAN",
  "state": "single point on PBEsol structure",
  "lattice": [[-2.493, -3.608, -1.303], [3.012, -2.803, 1.999], [-3.217, 3.494, 4.512]],
  "species": ["Cu", "Cu", "Ba", "Tl", "Tl"],
  "frac_coords": [[0.608, 0.608, 0.215], [0.392, 0.392, 0.785], [0.000, 0.000, 0.000], [0.750, 0.250, 0.500], [0.250, 0.750, 0.500]],
  "sg": "No. 139",
  "delta_e_f_ev_per_atom": -0.0830,
  "dos_at_fermi_per_ev_cell": 3.24
}

---

(14)
{
  "formula": "BaLi2Ca",
  "functional": "meta-GGA SCAN",
  "state": "single point on PBEsol structure",
  "lattice": [[-0.607, 4.921, 3.124], [-5.336, 2.233, 0.942], [-2.358, -0.205, 5.361]],
  "species": ["Ba", "Li", "Li", "Ca"],
  "frac_coords": [[0.000, 0.000, 0.000], [0.750, 0.750, 0.750], [0.250, 0.250, 0.250], [0.500, 0.500, 0.500]],
  "sg": "No. 225",
  "polymorph_energy_ev_per_atom": 0.022,
  "delta_e_f_ev_per_atom": 0.0453,
  "dos_at_fermi_per_ev_cell": 3.75
}

---

(15)
{
  "formula": "Li2TcNi",
  "functional": "meta-GGA SCAN",
  "state": "single point on PBEsol structure",
  "lattice": [[2.428, 0.000, 0.000], [0.000, 4.411, 0.000], [0.000, 0.000, 4.411]],
  "species": ["Tc", "Li", "Li", "Ni"],
  "frac_coords": [[0.500, 0.000, 0.000], [0.000, 0.500, 0.000], [0.000, 0.000, 0.500], [0.500, 0.500, 0.500]],
  "sg": "No. 123",
  "delta_e_f_ev_per_atom": 0.5088,
  "dos_at_fermi_per_ev_cell": 3.47
}

---

(16)
{
  "formula": "KCaHg2",
  "functional": "meta-GGA SCAN",
  "state": "single point on PBEsol structure",
  "lattice": [[5.452, 0.000, 0.000], [2.726, 4.722, 0.000], [2.726, 1.574, 4.452]],
  "species": ["K", "Hg", "Hg", "Ca"],
  "frac_coords": [[0.000, 0.000, 0.000], [0.750, 0.750, 0.750], [0.250, 0.250, 0.250], [0.500, 0.500, 0.500]],
  "sg": "No. 225",
  "polymorph_energy_ev_per_atom": 0.083,
  "delta_e_f_ev_per_atom": -0.3732,
  "dos_at_fermi_per_ev_cell": 3.64
}

---

(17)
{
  "formula": "BaMoAu2",
  "functional": "meta-GGA SCAN",
  "state": "single point on PBEsol structure",
  "lattice": [[3.093, 0.000, 0.000], [0.000, 5.264, 0.000], [0.000, 0.000, 5.264]],
  "species": ["Au", "Au", "Mo", "Ba"],
  "frac_coords": [[0.000, 0.500, 0.000], [0.000, 0.000, 0.500], [0.500, 0.000, 0.000], [0.500, 0.500, 0.500]],
  "sg": "No. 123",
  "polymorph_energy_ev_per_atom": 0.063,
  "delta_e_f_ev_per_atom": 0.3060,
  "dos_at_fermi_per_ev_cell": 2.60
}

---

(18)
{
  "formula": "NiSb2Ru",
  "functional": "meta-GGA SCAN",
  "state": "single point on PBEsol structure",
  "lattice": [[3.210, 0.000, 0.000], [0.000, 4.369, 0.000], [-1.605, -2.185, 4.908]],
  "species": ["Ni", "Sb", "Sb", "Ru"],
  "frac_coords": [[0.490, 0.490, 0.979], [0.990, 0.990, 0.980], [0.767, 0.267, 0.533], [0.254, 0.754, 0.507]],
  "sg": "No. 44",
  "polymorph_energy_ev_per_atom": 0.173,
  "dos_at_fermi_per_ev_cell": 3.12
}

---

(19)
{
  "formula": "Co5Mo",
  "functional": "meta-GGA SCAN",
  "state": "single point on PBEsol structure",
  "lattice": [[-3.915, 0.291, -0.612], [-0.489, -4.156, 1.155], [-0.236, 3.129, 3.000]],
  "species": ["Co", "Co", "Co", "Co", "Co", "Mo"],
  "frac_coords": [[0.500, 0.667, 0.333], [0.000, 0.351, 0.351], [0.000, 0.000, 0.649], [0.500, 0.333, 0.667], [0.000, 0.649, 0.000], [0.500, 0.000, 0.000]],
  "sg": "No. 189",
  "delta_e_f_ev_per_atom": 0.1949,
  "dos_at_fermi_per_ev_cell": 5.86
}

---

(20)
{
  "formula": "BaBeAs2",
  "functional": "meta-GGA SCAN",
  "state": "single point on PBEsol structure",
  "lattice": [[3.606, 0.000, 0.000], [0.000, 5.506, 0.000], [-1.803, -2.753, 4.740]],
  "species": ["Ba", "As", "As", "Be"],
  "frac_coords": [[0.507, 0.507, 0.015], [0.699, 0.199, 0.399], [0.965, 0.965, 0.931], [0.328, 0.828, 0.656]],
  "sg": "No. 44",
  "delta_e_f_ev_per_atom": 0.0022,
  "dos_at_fermi_per_ev_cell": 1.89
}